1.
DFT (PBE) results for a relaxed structure of PmTmPSe.

Structure (POSCAR):
```
PmTmPSe
1.0
3.989 -0.001 0.000
-1.994 3.455 0.000
-1.994 -1.151 7.068
Pm Tm P Se
1 1 1 1
Direct
0.118 0.957 0.090
0.488 0.142 0.645
0.298 0.547 0.860
0.975 0.385 0.375
```

E_form (uncorrected): -1.68 eV per atom

---

2.
DFT (PBE) results for a relaxed structure of Nd2Ni7Ge.

Structure (POSCAR):
```
Nd2Ni7Ge
1.0
-2.406 -2.620 -1.678
1.933 0.402 -3.401
6.287 -7.496 2.687
Nd Ni Ge
2 7 1
Direct
0.500 0.000 0.738
0.000 0.500 0.262
0.000 0.500 0.867
0.500 0.000 0.364
0.500 0.000 0.133
0.000 0.500 0.636
0.000 0.000 0.500
0.000 0.000 0.000
0.500 0.500 0.500
0.500 0.500 0.000
```

Energy relative to the elements: -256 meV per atom

---

3.
DFT (PBE) results for a relaxed structure of Fe2SbOs.

Structure (POSCAR):
```
Fe2SbOs
1.0
4.311 0.000 0.000
0.000 2.997 -0.002
0.000 0.001 4.522
Fe Os Sb
2 1 1
Direct
0.000 0.125 0.981
0.500 0.125 0.272
0.000 0.625 0.448
0.500 0.625 0.798
```

E_form (uncorrected): 0.34 eV per atom

---

4.
DFT (PBE) results for a relaxed structure of ZnCrAgAs2.

Structure (POSCAR):
```
ZnCrAgAs2
1.0
4.537 0.000 0.000
0.000 5.279 0.000
0.000 0.000 4.537
Cr As Zn Ag
1 2 1 1
Direct
0.000 0.000 0.000
0.000 0.000 0.500
0.500 0.000 0.000
0.500 0.500 0.500
0.000 0.500 0.000
```

Energy relative to the elements: 483 meV per atom

---

5.
DFT (PBE) results for a relaxed structure of Pm4Dy3Ho5.

Structure (POSCAR):
```
Pm4Dy3Ho5
1.0
-5.019 1.951 -2.443
-6.746 -3.713 3.737
-0.785 9.429 1.987
Pm Dy Ho
4 3 5
Direct
0.861 0.222 0.055
0.167 0.048 0.618
0.833 0.952 0.382
0.139 0.778 0.945
0.524 0.687 0.265
0.000 0.500 0.500
0.476 0.313 0.735
0.629 0.942 0.799
0.500 0.500 0.500
0.214 0.458 0.115
0.786 0.542 0.885
0.371 0.058 0.201
```

Energy relative to the elements: 231 meV per atom

---

6.
DFT (PBE) results for a relaxed structure of MgSnBi2.

Structure (POSCAR):
```
MgSnBi2
1.0
4.736 0.000 0.000
2.368 4.102 0.000
2.368 1.367 6.487
Mg Sn Bi
1 1 2
Direct
0.668 0.668 0.995
0.499 0.499 0.504
0.072 0.072 0.785
0.261 0.261 0.216
```

Energy relative to the elements: 27 meV per atom

---

7.
DFT (PBE) results for a relaxed structure of K2TlZn2F7.

Structure (POSCAR):
```
K2TlZn2F7
1.0
-2.199 -2.111 2.847
3.494 -0.732 2.157
-0.886 7.703 8.083
K Tl Zn F
2 1 2 7
Direct
0.814 0.814 0.371
0.186 0.186 0.629
0.000 0.000 0.000
0.598 0.598 0.804
0.402 0.402 0.196
0.500 0.500 0.000
0.308 0.308 0.385
0.692 0.692 0.615
0.901 0.401 0.197
0.401 0.901 0.197
0.599 0.099 0.803
0.099 0.599 0.803
```

E_form (uncorrected): -2.41 eV per atom

---

8.
DFT (PBE) results for a relaxed structure of Sr3ScTi2O9.

Structure (POSCAR):
```
Sr3ScTi2O9
1.0
-1.726 3.347 -4.234
-3.805 -2.798 3.131
-0.342 5.380 4.392
Sr Sc Ti O
3 1 2 9
Direct
0.333 0.667 0.672
0.000 0.000 0.000
0.667 0.333 0.328
0.000 0.000 0.500
0.333 0.667 0.169
0.667 0.333 0.831
0.829 0.171 0.675
0.829 0.657 0.675
0.343 0.171 0.675
0.657 0.829 0.325
0.171 0.343 0.325
0.171 0.829 0.325
0.500 0.000 0.000
0.000 0.500 0.000
0.500 0.500 0.000
```

E_form (uncorrected): -3.04 eV per atom

---

9.
DFT (PBE) results for a relaxed structure of Tm4CuSb.

Structure (POSCAR):
```
Tm4CuSb
1.0
6.945 0.000 -0.128
0.000 7.067 0.000
-0.235 0.000 7.038
Tm Cu Sb
8 2 2
Direct
0.872 0.645 0.172
0.628 0.145 0.828
0.319 0.334 0.359
0.181 0.834 0.641
0.128 0.355 0.828
0.372 0.855 0.172
0.681 0.666 0.641
0.819 0.166 0.359
0.500 0.000 0.500
0.000 0.500 0.500
0.000 0.000 0.000
0.500 0.500 0.000
```

E_form (uncorrected): -0.22 eV per atom
Excess energy over the best structure of this formula in the dataset: 169 meV per atom

---

10.
DFT (PBE) results for a relaxed structure of TaSnCl3.

Structure (POSCAR):
```
TaSnCl3
1.0
4.917 0.000 0.000
0.000 4.917 0.000
0.000 0.000 4.917
Cl Sn Ta
3 1 1
Direct
0.000 0.500 0.000
0.000 0.000 0.500
0.500 0.000 0.000
0.500 0.500 0.500
0.000 0.000 0.000
```

E_form (uncorrected): -0.12 eV per atom
Excess energy over the best structure of this formula in the dataset: 0 meV per atom